(1)
The following is a DFT calculation (PBE-GGA) of a geometry-optimized Pu2ScNbN4 structure.

Computed properties:
calculated total energy = -11.180 eV/atom
N(E_F) = 1.69 states/eV/atom
raw formation energy = -1.38 eV per atom
symmetry = P2/m, No. 10
size of the total moment = 1.131 μB/atom

Lattice parameters (Å, degrees): 3.301 5.739 5.734 109.37 90.00 90.00
Each line ends with the local moment (μB).
Fractional positions:
1 Nb 0.500 0.500 0.000  -0.05
2 N 0.000 0.740 0.230  -0.09
3 N 0.500 0.752 0.768  -0.10
4 N 0.000 0.260 0.770  -0.09
5 Pu 0.500 0.000 0.500  4.63
6 Pu 0.000 0.500 0.500  4.57
7 N 0.500 0.248 0.232  -0.10
8 Sc 0.000 0.000 0.000  0.05


(2)
The following is a DFT calculation (PBE-GGA) of a geometry-optimized SmPuNbN3 structure.

Computed properties:
calculated total energy = -10.004 eV/atom
N(E_F) = 1.36 states/eV/atom
raw formation energy = -0.99 eV per atom
symmetry = P2_1/m, No. 11
size of the total moment = 0.835 μB/atom

Lattice parameters (Å, degrees): 3.391 7.201 8.019 92.13 90.00 90.00
Each line ends with the local moment (μB).
Fractional positions:
1 Nb 0.750 0.868 0.425  0.20
2 N 0.250 0.133 0.846  -0.09
3 Sm 0.750 0.860 0.830  0.06
4 Sm 0.250 0.140 0.170  0.06
5 N 0.250 0.831 0.575  0.01
6 N 0.750 0.399 0.113  -0.17
7 Pu 0.250 0.625 0.152  4.65
8 N 0.250 0.601 0.887  -0.17
9 Pu 0.750 0.375 0.848  4.65
10 Nb 0.250 0.132 0.575  0.20
11 N 0.750 0.169 0.425  0.01
12 N 0.750 0.867 0.154  -0.09


(3)
The following is a DFT calculation (PBE-GGA) of a geometry-optimized Sm2PuNbN4 structure.

Computed properties:
calculated total energy = -9.701 eV/atom
N(E_F) = 0.90 states/eV/atom
raw formation energy = -1.31 eV per atom
symmetry = P2/m, No. 10
size of the total moment = 0.560 μB/atom

Lattice parameters (Å, degrees): 3.411 5.880 5.948 108.90 90.00 90.00
Each line ends with the local moment (μB).
Fractional positions:
1 Sm 0.000 0.500 0.500  0.07
2 N 0.000 0.752 0.222  -0.10
3 Pu 0.500 0.500 0.000  4.39
4 N 0.500 0.769 0.782  -0.05
5 N 0.500 0.231 0.218  -0.05
6 Sm 0.500 0.000 0.500  0.05
7 N 0.000 0.248 0.778  -0.10
8 Nb 0.000 0.000 0.000  0.10